(1)
First-principles (PBE) data for Na3Hg2Te4 after structural relaxation, as listed in Alexandria via LeMat-Bulk.

Computed properties:
As for the crystal system: monoclinic. The energy relative to the elements, uncorrected comes out at -0.466 eV per atom. Its energy relative to the lowest polymorph listed for this composition is 14 meV per atom.

The structure in CIF format:
```
data_Na3Hg2Te4
_space_group_name_H-M_alt 'P 1'
_space_group_IT_number 1
_cell_length_a 4.166
_cell_length_b 7.795
_cell_length_c 11.279
_cell_angle_alpha 122.73
_cell_angle_beta 90.00
_cell_angle_gamma 105.50
loop_
_space_group_symop_operation_xyz
'x,y,z'
loop_
_atom_site_label
_atom_site_type_symbol
_atom_site_fract_x
_atom_site_fract_y
_atom_site_fract_z
_atom_site_occupancy
Na1 Na 0.614 0.228 0.739 1
Na2 Na 0.000 0.000 0.000 1
Na3 Na 0.386 0.772 0.261 1
Hg1 Hg 0.666 0.332 0.311 1
Hg2 Hg 0.334 0.668 0.689 1
Te1 Te 0.692 0.385 0.089 1
Te2 Te 0.308 0.615 0.911 1
Te3 Te 0.908 0.816 0.589 1
Te4 Te 0.092 0.184 0.411 1
```

***

(2)
First-principles (PBE) data for Hf3CdC after structural relaxation, as listed in Alexandria via LeMat-Bulk.

Computed properties:
As for the crystal system: tetragonal. For the formation energy from the elements, the calculation gives 1.288 eV/atom. Its energy relative to the lowest polymorph listed for this composition is 1722 meV per atom.

The structure in CIF format:
```
data_Hf3CdC
_space_group_name_H-M_alt 'P 1'
_space_group_IT_number 1
_cell_length_a 4.883
_cell_length_b 4.883
_cell_length_c 11.596
_cell_angle_alpha 77.85
_cell_angle_beta 77.85
_cell_angle_gamma 90.00
loop_
_space_group_symop_operation_xyz
'x,y,z'
loop_
_atom_site_label
_atom_site_type_symbol
_atom_site_fract_x
_atom_site_fract_y
_atom_site_fract_z
_atom_site_occupancy
C1 C 0.650 0.150 0.699 1
C2 C 0.850 0.350 0.301 1
Hf1 Hf 0.110 0.870 0.261 1
Hf2 Hf 0.130 0.890 0.739 1
Hf3 Hf 0.130 0.371 0.739 1
Hf4 Hf 0.629 0.870 0.261 1
Hf5 Hf 0.313 0.313 0.375 1
Hf6 Hf 0.687 0.687 0.625 1
Cd1 Cd 0.000 0.000 0.000 1
Cd2 Cd 0.250 0.750 0.500 1
```

***

DOS at the Fermi energy (states/eV/atom)
0.2662, 0.6092